Record 1
SmSi: optimized geometry, PBE.

Cell lengths 4.6604, 4.6604, 4.6604 Å; angles 60.00, 60.00, 60.00 degrees
Closest atoms and distances in Å follow each position.
Positions (direct):
Sm 0.0000 0.0000 0.0000  4 Si 2.85
Si 0.2500 0.2500 0.2500  4 Sm 2.85

Output
Space-group type: F-43m (216)
Crystal system: cubic



Record 2
BiPd2O4: optimized geometry, PBE.

Cell lengths 6.5429, 6.5429, 6.5429 Å; angles 126.57, 126.57, 78.96 degrees
Closest atoms and distances in Å follow each position.
Positions (direct):
Bi 0.3750 0.1250 0.2500  8 O 2.39-2.48
Bi 0.6250 0.8750 0.7500  8 O 2.39-2.48
Pd 0.0000 0.0000 0.5000  4 O 2.01-2.03
Pd 0.0000 0.5000 0.0000  4 O 2.01-2.03
Pd 0.0000 0.5000 0.5000  4 O 2.01-2.03
Pd 0.5000 0.5000 0.0000  4 O 2.01-2.03
O 0.0217 0.1228 0.2911  2 Pd 2.01-2.03
O 0.2306 0.5217 0.3989  2 Pd 2.01-2.03
O 0.3317 0.7306 0.2089  2 Pd 2.01-2.03
O 0.3772 0.1683 0.8989  2 Pd 2.01-2.03
O 0.6228 0.8317 0.1011  2 Pd 2.01-2.03
O 0.6683 0.2694 0.7911  2 Pd 2.01-2.03
O 0.7694 0.4783 0.6011  2 Pd 2.01-2.03
O 0.9783 0.8772 0.7089  2 Pd 2.01-2.03

Output
Space-group type: I4_1/a (88)
Crystal system: tetragonal



Record 3
YErSi2BMo2: optimized geometry, PBE.

Cell lengths 5.8783, 5.8783, 7.0704 Å; angles 122.47, 122.47, 39.03 degrees
Closest atoms and distances in Å follow each position.
Positions (direct):
Y 0.0000 0.0000 0.0000  2 B 2.67, 2 Si 2.99
Er 0.1516 0.1516 0.6030  2 B 2.64
Si 0.4458 0.4458 0.6403  1 Si 2.46, 3 Mo 2.54-2.59
Si 0.7069 0.7069 0.9624  1 Si 2.46, 3 Mo 2.55-2.60
B 0.5772 0.5772 0.3050  2 Mo 2.09-2.10
Mo 0.3614 0.3614 0.2153  1 B 2.10
Mo 0.7915 0.7915 0.3897  1 B 2.09

Output
Space-group type: Cm (8)
Crystal system: monoclinic



Record 4
DyErFe6Ni2B2: optimized geometry, PBE.

Cell lengths 5.0001, 5.0001, 7.0632 Å; angles 90.00, 90.00, 120.00 degrees
Closest atoms and distances in Å follow each position.
Positions (direct):
Dy 0.0000 0.0000 0.0000  6 B 2.89, 12 Fe 2.92
Er 0.0000 0.0000 0.5000  6 Ni 2.89, 12 Fe 3.21
Fe 0.0000 0.5000 0.2140  2 B 2.09
Fe 0.0000 0.5000 0.7860  2 B 2.09
Fe 0.5000 0.0000 0.2140  2 B 2.09
Fe 0.5000 0.0000 0.7860  2 B 2.09
Fe 0.5000 0.5000 0.2140  2 B 2.09
Fe 0.5000 0.5000 0.7860  2 B 2.09
Ni 0.3333 0.6667 0.5000  6 Fe 2.48
Ni 0.6667 0.3333 0.5000  6 Fe 2.48
B 0.3333 0.6667 0.0000  6 Fe 2.09
B 0.6667 0.3333 0.0000  6 Fe 2.09

Output
Space-group type: P6/mmm (191)
Crystal system: hexagonal



Record 5
La2Sn2Pd3Au: optimized geometry, PBE.

Cell lengths 4.7333, 4.7333, 9.3904 Å; angles 90.00, 90.00, 120.00 degrees
Closest atoms and distances in Å follow each position.
Positions (direct):
La 0.0000 0.0000 0.0000  5 Pd 3.00-3.18, 3 Au 3.10
La 0.3333 0.6667 0.4965  7 Pd 3.04-3.20, 1 Au 3.27
Sn 0.6667 0.3333 0.2502  6 Pd 2.81-2.83
Sn 0.6667 0.3333 0.7263  3 Pd 2.80, 3 Au 2.95
Pd 0.0000 0.0000 0.3196  3 Sn 2.81, 1 La 3.00, 3 Pd 3.06
Pd 0.0000 0.0000 0.6628  3 Sn 2.80
Pd 0.3333 0.6667 0.1726  3 Sn 2.83, 1 La 3.04, 3 Pd 3.06, 1 Au 3.08
Au 0.3333 0.6667 0.8442  3 Sn 2.95, 4 Pd 3.08-3.22, 4 La 3.10-3.27

Output
Space-group type: P3m1 (156)
Crystal system: trigonal



Record 6
TlCuPdW: optimized geometry, PBE.

Cell lengths 4.5428, 4.5428, 4.5428 Å; angles 60.00, 60.00, 60.00 degrees
Closest atoms and distances in Å follow each position.
Positions (direct):
Tl 0.0000 0.0000 0.0000  4 Cu 2.78, 4 Pd 2.78
Cu 0.2500 0.2500 0.2500  4 W 2.78, 4 Tl 2.78
Pd 0.7500 0.7500 0.7500  4 W 2.78, 4 Tl 2.78
W 0.5000 0.5000 0.5000  4 Pd 2.78, 4 Cu 2.78

Output
Space-group type: F-43m (216)
Crystal system: cubic



Record 7
Zn2Sn2O5: optimized geometry, PBE.

Cell lengths 3.7702, 3.7702, 7.7957 Å; angles 90.00, 90.00, 90.00 degrees
Closest atoms and distances in Å follow each position.
Positions (direct):
Zn 0.0000 0.0000 0.2448  5 O 1.99
Zn 0.0000 0.0000 0.7552  5 O 1.99
Sn 0.5000 0.5000 0.0000  8 O 2.27
Sn 0.5000 0.5000 0.5000  4 O 2.67
O 0.0000 0.0000 0.5000  2 Zn 1.99
O 0.0000 0.5000 0.1633  2 Zn 1.99
O 0.0000 0.5000 0.8367  2 Zn 1.99
O 0.5000 0.0000 0.1633  2 Zn 1.99
O 0.5000 0.0000 0.8367  2 Zn 1.99

Output
Space-group type: P4/mmm (123)
Crystal system: tetragonal



Record 8
KOsSO: optimized geometry, PBE.

Cell lengths 6.4637, 8.5371, 5.7155 Å; angles 90.00, 90.00, 90.00 degrees
Closest atoms and distances in Å follow each position.
Positions (direct):
K 0.0823 0.1557 0.0000  3 O 2.62-2.86
K 0.4177 0.1557 0.5000  3 O 2.62-2.86
K 0.5823 0.8443 0.0000  3 O 2.62-2.86
K 0.9177 0.8443 0.5000  3 O 2.62-2.86
Os 0.1056 0.6461 0.9954  1 O 1.85
Os 0.3944 0.6461 0.4954  1 O 1.85
Os 0.6056 0.3539 0.9954  1 O 1.85
Os 0.8944 0.3539 0.4954  1 O 1.85
S 0.1326 0.5046 0.6662  3 Os 2.23-2.30
S 0.3674 0.5046 0.1662  3 Os 2.23-2.30
S 0.6326 0.4954 0.6662  3 Os 2.23-2.30
S 0.8674 0.4954 0.1662  3 Os 2.23-2.30
O 0.0216 0.8527 0.9862  1 Os 1.85
O 0.4784 0.8527 0.4862  1 Os 1.85
O 0.5216 0.1473 0.9862  1 Os 1.85
O 0.9784 0.1473 0.4862  1 Os 1.85

Output
Space-group type: Pca2_1 (29)
Crystal system: orthorhombic



Electronic total energy, record by record: -4.749; -5.635; -7.702; -7.230; -5.404; -5.415; -5.037; -6.053 eV/atom